Compound: CaOsPt
Source: Alexandria via LeMat-Bulk
Functional: PBE-GGA
Structure: optimized geometry

The structure in extended XYZ format:
```
3
Lattice="4.667 0.000 0.000 -2.334 4.042 0.000 0.000 0.000 2.864" Properties=species:S:1:pos:R:3 pbc="T T T"
Ca 0.000 0.000 0.000
Os 2.334 1.347 1.432
Pt 0.000 2.695 1.432
```

Output
Spin magnetization in μB/cell: 0.02
DOS at the Fermi energy in states/eV per cell: 3.482
ΔE_f in eV/atom: 0.1544
Crystal system: hexagonal